Entry 1:
The following is a DFT calculation (meta-GGA SCAN) of a PBEsol-optimized structure of Si2SnRuCl.

Lattice parameters (Å, degrees): 4.507 4.507 5.206 90.00 90.00 90.00
Sites, in units of the cell vectors:
Si1 0.000 0.500 0.000
Si2 0.500 0.000 0.000
Cl1 0.500 0.500 0.500
Ru1 0.000 0.000 0.000
Sn1 0.000 0.000 0.500

---

Entry 2:
The following is a DFT calculation (meta-GGA SCAN) of a PBEsol-optimized structure of FeHgS2N.

Lattice parameters (Å, degrees): 3.379 4.697 4.697 90.00 90.00 90.00
Site moments in Bohr magnetons follow the coordinates.
Sites, in units of the cell vectors:
N1 0.500 0.000 0.000  -0.24
S1 0.000 0.000 0.500  0.03
S2 0.000 0.500 0.000  0.03
Hg1 0.500 0.500 0.500  -0.01
Fe1 0.000 0.000 0.000  1.30

---

| no. | uncorrected formation energy (eV/atom) |
| --- | --- |
| 1 | -0.077 |
| 2 | 0.421 |